{"formula": "BeMo2Au", "functional": "GGA-PBE", "state": "relaxed", "lattice_angstrom": [[2.688, 0.000, 0.000], [0.000, 3.955, 0.000], [0.000, 0.000, 5.677]], "species": ["Au", "Be", "Mo", "Mo"], "fractional_positions": [[0.000, 0.000, 0.520], [0.500, 0.500, 0.760], [0.500, 0.500, 0.231], [0.000, 0.000, 0.990]], "polymorph_energy_ev_per_atom": 0.1604, "spacegroup": "No. 25", "magmom_total_mub_per_cell": 0.000, "formation_enthalpy_0k_ev_per_atom": 0.27}

{"formula": "BeMoAu3", "functional": "GGA-PBE", "state": "relaxed", "lattice_angstrom": [[-2.943, 2.962, -1.299], [-0.578, -2.210, -3.729], [-3.183, -2.338, 1.878]], "species": ["Au", "Au", "Au", "Mo", "Be"], "fractional_positions": [[0.500, 0.000, 0.000], [0.000, 0.000, 0.500], [0.000, 0.500, 0.000], [0.500, 0.500, 0.500], [0.000, 0.000, 0.000]], "polymorph_energy_ev_per_atom": 0.0000, "spacegroup": "No. 221", "magmom_total_mub_per_cell": 0.001, "formation_enthalpy_0k_ev_per_atom": 0.58}

{"formula": "BeMoAu2", "functional": "GGA-PBE", "state": "relaxed", "lattice_angstrom": [[4.961, -0.027, -0.019], [-1.726, 4.651, -0.019], [0.012, 0.017, 2.727]], "species": ["Au", "Au", "Mo", "Be"], "fractional_positions": [[0.000, 0.000, 0.000], [0.500, 0.500, 0.000], [0.000, 0.500, 0.500], [0.500, 0.000, 0.500]], "polymorph_energy_ev_per_atom": 0.3243, "spacegroup": "No. 65", "magmom_total_mub_per_cell": 0.239, "formation_enthalpy_0k_ev_per_atom": 0.35}

{"formula": "BeMoAu2", "functional": "GGA-PBE", "state": "relaxed", "lattice_angstrom": [[-1.549, -2.397, -0.187], [-0.161, -0.118, 2.853], [-6.069, 3.938, -0.180]], "species": ["Au", "Au", "Be", "Mo"], "fractional_positions": [[0.000, 0.000, 0.459], [0.000, 0.000, 0.041], [0.500, 0.500, 0.250], [0.500, 0.500, 0.750]], "polymorph_energy_ev_per_atom": 0.0539, "spacegroup": "No. 123", "magmom_total_mub_per_cell": 0.000, "formation_enthalpy_0k_ev_per_atom": 0.08}

{"formula": "BeMoAu2", "functional": "GGA-PBE", "state": "relaxed", "lattice_angstrom": [[8.821, -0.004, -0.003], [8.362, 2.809, -0.003], [8.362, 1.365, 2.455]], "species": ["Au", "Au", "Be", "Mo"], "fractional_positions": [[0.010, 0.010, 0.010], [0.490, 0.490, 0.490], [0.750, 0.750, 0.750], [0.250, 0.250, 0.250]], "polymorph_energy_ev_per_atom": 0.2112, "spacegroup": "No. 166", "magmom_total_mub_per_cell": 0.000, "formation_enthalpy_0k_ev_per_atom": 0.24}

{"formula": "BeMoAu2", "functional": "GGA-PBE", "state": "relaxed", "lattice_angstrom": [[-2.271, 3.000, -0.323], [-1.402, -1.407, -3.212], [-8.442, -3.683, 3.077]], "species": ["Be", "Be", "Au", "Au", "Au", "Au", "Mo", "Mo"], "fractional_positions": [[0.500, 0.500, 0.000], [0.250, 0.750, 0.500], [0.375, 0.382, 0.750], [0.132, 0.625, 0.250], [0.875, 0.868, 0.750], [0.618, 0.125, 0.250], [0.000, 0.000, 0.000], [0.750, 0.250, 0.500]], "polymorph_energy_ev_per_atom": 0.6221, "spacegroup": "No. 122", "magmom_total_mub_per_cell": 0.000, "formation_enthalpy_0k_ev_per_atom": 0.65}

{"formula": "BeMo2Au", "functional": "GGA-PBE", "state": "relaxed", "lattice_angstrom": [[0.000, 3.108, 3.108], [3.108, 0.000, 3.108], [3.108, 3.108, 0.000]], "species": ["Be", "Au", "Mo", "Mo"], "fractional_positions": [[0.000, 0.000, 0.000], [0.500, 0.500, 0.500], [0.750, 0.750, 0.750], [0.250, 0.250, 0.250]], "polymorph_energy_ev_per_atom": 0.4157, "spacegroup": "No. 225", "magmom_total_mub_per_cell": 0.000, "formation_enthalpy_0k_ev_per_atom": 0.53}

{"formula": "BeMo3Au", "functional": "GGA-PBE", "state": "relaxed", "lattice_angstrom": [[4.242, 0.000, 0.000], [0.000, 4.242, 0.000], [0.000, 0.000, 4.242]], "species": ["Au", "Mo", "Mo", "Mo", "Be"], "fractional_positions": [[0.500, 0.500, 0.500], [0.000, 0.500, 0.000], [0.500, 0.000, 0.000], [0.000, 0.000, 0.500], [0.000, 0.000, 0.000]], "polymorph_energy_ev_per_atom": 0.0000, "spacegroup": "No. 221", "magmom_total_mub_per_cell": 0.000, "formation_enthalpy_0k_ev_per_atom": 0.63}

{"formula": "BeMoAu2", "functional": "GGA-PBE", "state": "relaxed", "lattice_angstrom": [[-2.666, 0.014, -0.939], [0.560, -2.245, -1.622], [-1.994, -4.538, 5.592]], "species": ["Mo", "Au", "Au", "Be"], "fractional_positions": [[0.500, 0.500, 0.713], [0.000, 0.000, 0.989], [0.500, 0.500, 0.303], [0.000, 0.000, 0.495]], "polymorph_energy_ev_per_atom": 0.0000, "spacegroup": "No. 99", "magmom_total_mub_per_cell": 0.000, "formation_enthalpy_0k_ev_per_atom": 0.02}

{"formula": "BeMoAu2", "functional": "GGA-PBE", "state": "relaxed", "lattice_angstrom": [[4.765, 0.000, 0.000], [0.000, 4.765, 0.000], [0.000, 0.000, 2.806]], "species": ["Au", "Au", "Mo", "Be"], "fractional_positions": [[0.000, 0.000, 0.000], [0.500, 0.500, 0.000], [0.000, 0.500, 0.500], [0.500, 0.000, 0.500]], "polymorph_energy_ev_per_atom": 0.3653, "spacegroup": "No. 123", "magmom_total_mub_per_cell": 0.819, "formation_enthalpy_0k_ev_per_atom": 0.39}

{"formula": "BeMoAu3", "functional": "GGA-PBE", "state": "relaxed", "lattice_angstrom": [[5.052, 0.000, 0.000], [0.000, 5.052, 0.000], [0.000, 0.000, 5.052]], "species": ["Au", "Au", "Au", "Mo", "Be"], "fractional_positions": [[0.000, 0.500, 0.000], [0.000, 0.000, 0.500], [0.500, 0.000, 0.000], [0.000, 0.000, 0.000], [0.500, 0.500, 0.500]], "polymorph_energy_ev_per_atom": 1.0060, "spacegroup": "No. 221", "magmom_total_mub_per_cell": 0.001, "formation_enthalpy_0k_ev_per_atom": 1.59}

{"formula": "BeMo2Au", "functional": "GGA-PBE", "state": "relaxed", "lattice_angstrom": [[-2.164, 0.893, -3.728], [-1.681, -3.279, -2.408], [-4.360, -0.570, -0.204]], "species": ["Mo", "Mo", "Au", "Be"], "fractional_positions": [[0.000, 0.000, 0.000], [0.250, 0.250, 0.250], [0.500, 0.500, 0.500], [0.750, 0.750, 0.750]], "polymorph_energy_ev_per_atom": 0.2801, "spacegroup": "No. 216", "magmom_total_mub_per_cell": 0.002, "formation_enthalpy_0k_ev_per_atom": 0.39}

{"formula": "BeMo2Au", "functional": "GGA-PBE", "state": "relaxed", "lattice_angstrom": [[2.733, 0.019, 0.000], [-0.020, 2.733, 0.000], [0.000, 0.000, 7.671]], "species": ["Mo", "Mo", "Be", "Au"], "fractional_positions": [[0.000, 0.000, 0.959], [0.000, 0.000, 0.541], [0.500, 0.500, 0.750], [0.500, 0.500, 0.250]], "polymorph_energy_ev_per_atom": 0.0000, "spacegroup": "No. 123", "magmom_total_mub_per_cell": 0.000, "formation_enthalpy_0k_ev_per_atom": 0.11}

{"formula": "BeMo2Au", "functional": "GGA-PBE", "state": "relaxed", "lattice_angstrom": [[2.789, 0.000, 0.000], [0.000, 4.133, 0.000], [0.000, 0.000, 5.147]], "species": ["Be", "Mo", "Mo", "Au"], "fractional_positions": [[0.500, 0.500, 0.750], [0.000, 0.000, 0.520], [0.000, 0.000, 0.980], [0.500, 0.500, 0.250]], "polymorph_energy_ev_per_atom": 0.0709, "spacegroup": "No. 47", "magmom_total_mub_per_cell": 0.000, "formation_enthalpy_0k_ev_per_atom": 0.18}

{"formula": "BeMo2PbAu", "functional": "GGA-PBE", "state": "relaxed", "lattice_angstrom": [[5.264, 0.000, 0.000], [0.000, 4.375, 0.000], [0.000, 0.000, 5.264]], "species": ["Mo", "Mo", "Pb", "Au", "Be"], "fractional_positions": [[0.500, 0.000, 0.000], [0.000, 0.000, 0.500], [0.000, 0.000, 0.000], [0.500, 0.500, 0.500], [0.000, 0.500, 0.000]], "spacegroup": "No. 123", "magmom_total_mub_per_cell": 5.492, "formation_enthalpy_0k_ev_per_atom": 2.08}

{"formula": "BeAuN2", "functional": "GGA-PBE", "state": "relaxed", "lattice_angstrom": [[1.932, 0.000, 5.133], [-0.966, 1.673, 5.133], [-0.966, -1.673, 5.133]], "species": ["Au", "N", "N", "Be"], "fractional_positions": [[0.500, 0.500, 0.500], [0.899, 0.899, 0.899], [0.101, 0.101, 0.101], [0.000, 0.000, 0.000]], "final_energy_ev_per_cell": -20.2, "spacegroup": "No. 166", "magmom_total_mub_per_cell": 0.000}

{"formula": "BeAuN", "functional": "GGA-PBE", "state": "relaxed", "lattice_angstrom": [[-2.729, -0.381, 1.245], [0.637, -2.913, 0.504], [2.740, 1.729, 6.536]], "species": ["N", "N", "Au", "Au", "Be", "Be"], "fractional_positions": [[0.500, 0.000, 0.612], [0.000, 0.500, 0.388], [0.000, 0.500, 0.867], [0.500, 0.000, 0.133], [0.000, 0.000, 0.500], [0.500, 0.500, 0.500]], "final_energy_ev_per_cell": -30.3, "spacegroup": "No. 129", "magmom_total_mub_per_cell": 0.000}

{"formula": "BeAuN", "functional": "GGA-PBE", "state": "relaxed", "lattice_angstrom": [[-1.216, -6.564, -1.289], [3.554, -4.194, -2.026], [7.160, 1.622, 0.781]], "species": ["Au", "Au", "N", "N", "Be", "Be"], "fractional_positions": [[0.987, 0.224, 0.477], [0.987, 0.724, 0.477], [0.985, 0.228, 0.975], [0.985, 0.728, 0.975], [0.318, 0.062, 0.308], [0.318, 0.562, 0.308]], "final_energy_ev_per_cell": -31.8, "spacegroup": "No. 5", "magmom_total_mub_per_cell": 0.000}

{"formula": "BeAuN", "functional": "GGA-PBE", "state": "relaxed", "lattice_angstrom": [[2.506, -1.447, 0.000], [0.000, 2.894, 0.000], [0.000, 0.000, 9.240]], "species": ["Au", "Au", "Be", "Be", "N", "N"], "fractional_positions": [[0.000, 0.000, 0.500], [0.000, 0.000, 0.000], [0.667, 0.333, 0.750], [0.333, 0.667, 0.250], [0.667, 0.333, 0.250], [0.333, 0.667, 0.750]], "final_energy_ev_per_cell": -30.5, "spacegroup": "No. 194", "magmom_total_mub_per_cell": 0.000}

{"formula": "BeAuN", "functional": "GGA-PBE", "state": "relaxed", "lattice_angstrom": [[-3.874, -2.489, -5.192], [4.867, -0.476, -3.403], [0.896, -5.744, 2.085]], "species": ["Be", "Be", "Be", "Be", "N", "N", "N", "N", "Au", "Au", "Au", "Au"], "fractional_positions": [[0.000, 0.500, 0.000], [0.500, 0.000, 0.500], [0.000, 0.000, 0.000], [0.500, 0.500, 0.500], [0.500, 0.250, 0.437], [0.000, 0.750, 0.937], [0.500, 0.750, 0.563], [0.000, 0.250, 0.063], [0.250, 0.750, 0.750], [0.750, 0.750, 0.750], [0.750, 0.250, 0.250], [0.250, 0.250, 0.250]], "final_energy_ev_per_cell": -62.3, "spacegroup": "No. 74", "magmom_total_mub_per_cell": 0.000}

{"formula": "BeAuN", "functional": "GGA-PBE", "state": "relaxed", "lattice_angstrom": [[-3.847, -4.581, -4.280], [-0.784, -1.661, 2.483], [-2.132, 2.135, 0.755]], "species": ["N", "N", "Au", "Au", "Be", "Be"], "fractional_positions": [[0.494, 0.997, 0.601], [0.267, 0.497, 0.987], [0.028, 0.997, 0.868], [0.733, 0.497, 0.719], [0.361, 0.497, 0.534], [0.400, 0.997, 0.054]], "final_energy_ev_per_cell": -31.6, "spacegroup": "No. 11", "magmom_total_mub_per_cell": 0.000}

{"formula": "BeAuN2", "functional": "GGA-PBE", "state": "relaxed", "lattice_angstrom": [[4.564, 0.000, 0.000], [0.000, 4.564, 0.000], [2.282, 2.282, 4.088]], "species": ["N", "N", "N", "N", "Be", "Be", "Au", "Au"], "fractional_positions": [[0.203, 0.625, 0.250], [0.375, 0.453, 0.750], [0.547, 0.125, 0.250], [0.875, 0.797, 0.750], [0.500, 0.500, 0.000], [0.250, 0.750, 0.500], [0.000, 0.000, 0.000], [0.750, 0.250, 0.500]], "final_energy_ev_per_cell": -41.9, "spacegroup": "No. 122", "magmom_total_mub_per_cell": 0.000}

{"formula": "BeAuN", "functional": "GGA-PBE", "state": "relaxed", "lattice_angstrom": [[-3.928, -4.454, 3.464], [2.564, -1.646, 0.790], [0.909, 4.985, 7.439]], "species": ["N", "N", "N", "N", "Au", "Au", "Au", "Au", "Be", "Be", "Be", "Be"], "fractional_positions": [[0.954, 0.250, 0.116], [0.454, 0.250, 0.384], [0.546, 0.750, 0.616], [0.046, 0.750, 0.884], [0.293, 0.750, 0.750], [0.793, 0.750, 0.750], [0.207, 0.250, 0.250], [0.707, 0.250, 0.250], [0.496, 0.750, 0.424], [0.004, 0.250, 0.924], [0.504, 0.250, 0.576], [0.996, 0.750, 0.076]], "final_energy_ev_per_cell": -64.0, "spacegroup": "No. 62", "magmom_total_mub_per_cell": 0.000}

{"formula": "BeAuN", "functional": "GGA-PBE", "state": "relaxed", "lattice_angstrom": [[7.940, -0.001, 0.023], [-0.606, 3.054, -0.001], [-0.579, -0.113, 2.958]], "species": ["Be", "Be", "N", "N", "Au", "Au"], "fractional_positions": [[0.360, 0.582, 0.189], [0.395, 0.099, 0.706], [0.260, 0.032, 0.139], [0.473, 0.638, 0.745], [0.750, 0.777, 0.885], [0.044, 0.925, 0.531]], "final_energy_ev_per_cell": -31.7, "spacegroup": "No. 8", "magmom_total_mub_per_cell": 0.000}

{"formula": "BeAu3N", "functional": "GGA-PBE", "state": "relaxed", "lattice_angstrom": [[-1.339, 2.264, 3.493], [-2.856, -3.169, 0.959], [3.029, -1.988, 2.449]], "species": ["Au", "Au", "Au", "Be", "N"], "fractional_positions": [[0.000, 0.000, 0.500], [0.500, 0.000, 0.000], [0.000, 0.500, 0.000], [0.500, 0.500, 0.500], [0.000, 0.000, 0.000]], "polymorph_energy_ev_per_atom": 0.0000, "spacegroup": "No. 221", "magmom_total_mub_per_cell": 0.000}

{"formula": "BeAuN", "functional": "GGA-PBE", "state": "relaxed", "lattice_angstrom": [[-1.568, -7.329, 1.629], [0.458, -0.755, -2.954], [2.983, -0.507, 0.592]], "species": ["Be", "Be", "N", "N", "Au", "Au"], "fractional_positions": [[0.381, 0.498, 0.544], [0.380, 0.998, 0.044], [0.278, 0.498, 0.044], [0.483, 0.998, 0.544], [0.755, 0.996, 0.544], [0.006, 0.496, 0.043]], "final_energy_ev_per_cell": -31.7, "spacegroup": "No. 31", "magmom_total_mub_per_cell": 0.000}

{"formula": "BeAuN", "functional": "GGA-PBE", "state": "relaxed", "lattice_angstrom": [[-3.218, 3.639, 3.447], [-7.140, 2.281, -0.780], [-2.146, -1.855, 1.405]], "species": ["Be", "Be", "Au", "Au", "N", "N"], "fractional_positions": [[0.280, 0.981, 0.512], [0.577, 0.833, 0.011], [0.928, 0.407, 0.761], [0.928, 0.907, 0.261], [0.663, 0.790, 0.510], [0.193, 0.023, 0.013]], "final_energy_ev_per_cell": -32.0, "spacegroup": "No. 12", "magmom_total_mub_per_cell": 0.000}

{"formula": "Be2AuN", "functional": "GGA-PBE", "state": "relaxed", "lattice_angstrom": [[4.978, 0.000, 0.000], [0.000, 4.978, 0.000], [2.489, 2.489, 3.749]], "species": ["Au", "Au", "Be", "Be", "Be", "Be", "N", "N"], "fractional_positions": [[0.000, 0.000, 0.000], [0.750, 0.250, 0.500], [0.273, 0.625, 0.250], [0.375, 0.523, 0.750], [0.477, 0.125, 0.250], [0.875, 0.727, 0.750], [0.250, 0.750, 0.500], [0.500, 0.500, 0.000]], "final_energy_ev_per_cell": -41.7, "spacegroup": "No. 122", "magmom_total_mub_per_cell": 0.000}

| no. | D(E_F) (states/eV/f.u.) |
| --- | --- |
| 1 | 2.25 |
| 2 | 2.80 |
| 3 | 3.44 |
| 4 | 2.55 |
| 5 | 3.53 |
| 6 | 3.68 |
| 7 | 2.13 |
| 8 | 4.56 |
| 9 | 2.18 |
| 10 | 2.97 |
| 11 | 5.33 |
| 12 | 3.54 |
| 13 | 1.70 |
| 14 | 2.71 |
| 15 | 5.62 |
| 16 | 3.67 |
| 17 | 1.29 |
| 18 | 0.65 |
| 19 | 0.97 |
| 20 | 0.00 |
| 21 | 0.46 |
| 22 | 3.01 |
| 23 | 0.00 |
| 24 | 0.88 |
| 25 | 2.29 |
| 26 | 0.51 |
| 27 | 0.00 |
| 28 | 0.39 |